(1)
A crystal of TcBiI3 relaxed with PBEsol. Source: Alexandria, functional meta-GGA SCAN.

Properties
Its raw formation energy is 0.558 eV/atom. Its space group is Pm-3m, No. 221.

a = 5.2791 Å, b = 5.2791 Å, c = 5.2791 Å
α = 90.00°, β = 90.00°, γ = 90.00°
Each line ends with the local moment (μB).
Sites, in units of the cell vectors:
I 0.5000 0.0000 0.0000  0.01
I 0.0000 0.5000 0.0000  0.01
I 0.0000 0.0000 0.5000  0.01
Tc 0.0000 0.0000 0.0000  1.66
Bi 0.5000 0.5000 0.5000  -0.18

(2)
A crystal of TiBi2TeI relaxed with PBEsol. Source: Alexandria, functional meta-GGA SCAN.

Properties
Its raw formation energy is 0.020 eV/atom. Its space group is P4/mmm, No. 123.

a = 5.1184 Å, b = 5.4461 Å, c = 5.4461 Å
α = 90.00°, β = 90.00°, γ = 90.00°
Sites, in units of the cell vectors:
Bi 0.0000 0.0000 0.5000
Bi 0.0000 0.5000 0.0000
I 0.5000 0.5000 0.5000
Ti 0.0000 0.0000 0.0000
Te 0.5000 0.0000 0.0000

(3)
A crystal of TlBiTe2I relaxed with PBEsol. Source: Alexandria, functional meta-GGA SCAN.

Properties
Its raw formation energy is 0.535 eV/atom. Its space group is P4/mmm, No. 123.

a = 5.6566 Å, b = 5.6566 Å, c = 5.7021 Å
α = 90.00°, β = 90.00°, γ = 90.00°
Sites, in units of the cell vectors:
Bi 0.5000 0.5000 0.5000
Te 0.5000 0.0000 0.0000
Te 0.0000 0.5000 0.0000
I 0.0000 0.0000 0.5000
Tl 0.0000 0.0000 0.0000

(4)
A crystal of TiBi2I relaxed with PBEsol. Source: Alexandria, functional meta-GGA SCAN.

Properties
Its raw formation energy is 0.439 eV/atom. Its space group is I-42d, No. 122.

a = 5.9102 Å, b = 5.9102 Å, c = 9.5900 Å
α = 107.95°, β = 107.95°, γ = 90.00°
Sites, in units of the cell vectors:
Ti 0.5000 0.5000 0.0000
Ti 0.7500 0.2500 0.5000
Bi 0.1250 0.2449 0.7500
Bi 0.4949 0.8750 0.2500
Bi 0.6250 0.5051 0.7500
Bi 0.7551 0.3750 0.2500
I 0.0000 0.0000 0.0000
I 0.2500 0.7500 0.5000

(5)
A crystal of BiWI2 relaxed with PBEsol. Source: Alexandria, functional meta-GGA SCAN.

Properties
Its raw formation energy is 1.618 eV/atom. Its space group is Fm-3m, No. 225.

a = 5.1346 Å, b = 5.1346 Å, c = 5.1346 Å
α = 60.00°, β = 60.00°, γ = 60.00°
Sites, in units of the cell vectors:
Bi 0.5000 0.5000 0.5000
W 0.0000 0.0000 0.0000
I 0.7500 0.7500 0.7500
I 0.2500 0.2500 0.2500

(6)
A crystal of YBiI3 relaxed with PBEsol. Source: Alexandria, functional meta-GGA SCAN.

Properties
Its raw formation energy is -0.594 eV/atom. Its space group is Pm-3m, No. 221.

a = 5.9460 Å, b = 5.9460 Å, c = 5.9460 Å
α = 90.00°, β = 90.00°, γ = 90.00°
Each line ends with the local moment (μB).
Sites, in units of the cell vectors:
I 0.0000 0.5000 0.0000  0.04
I 0.5000 0.0000 0.0000  0.04
I 0.0000 0.0000 0.5000  0.04
Bi 0.5000 0.5000 0.5000  1.60
Y 0.0000 0.0000 0.0000  0.04

(7)
A crystal of Y2ZrBiI relaxed with PBEsol. Source: Alexandria, functional meta-GGA SCAN.

Properties
Its raw formation energy is 0.369 eV/atom. Its space group is P4/mmm, No. 123.

a = 5.4532 Å, b = 5.7949 Å, c = 5.7949 Å
α = 90.00°, β = 90.00°, γ = 90.00°
Each line ends with the local moment (μB).
Sites, in units of the cell vectors:
Y 0.0000 0.0000 0.5000  0.63
Y 0.0000 0.5000 0.0000  0.63
Bi 0.0000 0.0000 0.0000  0.04
Zr 0.5000 0.0000 0.0000  1.32
I 0.5000 0.5000 0.5000  0.06

(8)
A crystal of Zn2Bi2I relaxed with PBEsol. Source: Alexandria, functional meta-GGA SCAN.

Properties
Its raw formation energy is 0.151 eV/atom. Its space group is I4/mmm, No. 139.

a = 5.1862 Å, b = 5.1862 Å, c = 6.3555 Å
α = 114.08°, β = 114.08°, γ = 90.00°
Sites, in units of the cell vectors:
Bi 0.3555 0.3555 0.7110
Bi 0.6445 0.6445 0.2890
Zn 0.7500 0.2500 0.5000
Zn 0.2500 0.7500 0.5000
I 0.0000 0.0000 0.0000

(9)
A crystal of ZnBiI3 relaxed with PBEsol. Source: Alexandria, functional meta-GGA SCAN.

Properties
Its raw formation energy is 0.116 eV/atom. Its space group is Pm-3m, No. 221.

a = 5.4023 Å, b = 5.4023 Å, c = 5.4023 Å
α = 90.00°, β = 90.00°, γ = 90.00°
Sites, in units of the cell vectors:
Bi 0.5000 0.5000 0.5000
I 0.0000 0.5000 0.0000
I 0.5000 0.0000 0.0000
I 0.0000 0.0000 0.5000
Zn 0.0000 0.0000 0.0000

(10)
A crystal of Zn3BiI relaxed with PBEsol. Source: Alexandria, functional meta-GGA SCAN.

Properties
Its raw formation energy is 0.874 eV/atom. Its space group is Pm-3m, No. 221.

a = 5.2084 Å, b = 5.2084 Å, c = 5.2084 Å
α = 90.00°, β = 90.00°, γ = 90.00°
Sites, in units of the cell vectors:
Zn 0.0000 0.5000 0.0000
Zn 0.0000 0.0000 0.5000
Zn 0.5000 0.0000 0.0000
Bi 0.5000 0.5000 0.5000
I 0.0000 0.0000 0.0000

(11)
A crystal of ZrBiI2 relaxed with PBEsol. Source: Alexandria, functional meta-GGA SCAN.

Properties
Its raw formation energy is -0.207 eV/atom. Its space group is I-42d, No. 122.

a = 5.7363 Å, b = 7.6620 Å, c = 7.6620 Å
α = 81.95°, β = 68.02°, γ = 68.02°
Sites, in units of the cell vectors:
Zr 0.2500 0.5000 0.5000
Zr 0.5000 0.0000 0.0000
I 0.3750 0.3708 0.1292
I 0.8750 0.6292 0.8708
I 0.2542 0.8708 0.3708
I 0.4958 0.1292 0.6292
Bi 0.7500 0.5000 0.5000
Bi 0.0000 0.0000 0.0000

(12)
A crystal of In2Bi relaxed with PBEsol. Source: Alexandria, functional meta-GGA SCAN.

Properties
The value obtained for the formation energy is 0.095 eV/atom. Its space group is Fmmm, No. 69.

a = 3.4533 Å, b = 3.4533 Å, c = 7.3563 Å
α = 104.43°, β = 104.43°, γ = 86.47°
Sites, in units of the cell vectors:
In 0.6699 0.6699 0.3398
In 0.3301 0.3301 0.6602
Bi 0.0000 0.0000 0.0000

(13)
A crystal of InBi3 relaxed with PBEsol. Source: Alexandria, functional meta-GGA SCAN.

Properties
The value obtained for the formation energy is 0.052 eV/atom. Its space group is C222, No. 21.

a = 3.2674 Å, b = 4.6500 Å, c = 8.6476 Å
α = 90.00°, β = 90.00°, γ = 110.57°
Sites, in units of the cell vectors:
In 0.5000 0.0000 0.0000
Bi 0.0000 0.0000 0.5000
Bi 0.5000 0.5000 0.7612
Bi 0.0000 0.5000 0.2388

(14)
A crystal of In2Bi relaxed with PBEsol. Source: Alexandria, functional meta-GGA SCAN.

Properties
The value obtained for the formation energy is 0.059 eV/atom. Its space group is P6_3/mmc, No. 194.

a = 5.3936 Å, b = 5.3936 Å, c = 6.5886 Å
α = 90.00°, β = 90.00°, γ = 120.00°
Sites, in units of the cell vectors:
Bi 0.6667 0.3333 0.7500
Bi 0.3333 0.6667 0.2500
In 0.3333 0.6667 0.7500
In 0.6667 0.3333 0.2500
In 0.0000 0.0000 0.0000
In 0.0000 0.0000 0.5000

(15)
A crystal of In4Bi relaxed with PBEsol. Source: Alexandria, functional meta-GGA SCAN.

Properties
The value obtained for the formation energy is 0.108 eV/atom. Its space group is C2/m, No. 12.

a = 3.4063 Å, b = 3.4063 Å, c = 13.3453 Å
α = 96.54°, β = 96.54°, γ = 60.34°
Sites, in units of the cell vectors:
In 0.4001 0.4001 0.2075
In 0.2001 0.2001 0.5972
In 0.7999 0.7999 0.4028
In 0.5999 0.5999 0.7925
Bi 0.0000 0.0000 0.0000

(16)
A crystal of In2Bi relaxed with PBEsol. Source: Alexandria, functional meta-GGA SCAN.

Properties
The value obtained for the formation energy is 0.131 eV/atom. Its space group is P6/mmm, No. 191.

a = 3.2169 Å, b = 5.4574 Å, c = 5.4574 Å
α = 120.00°, β = 90.00°, γ = 90.00°
Sites, in units of the cell vectors:
Bi 0.0000 0.0000 0.0000
In 0.5000 0.6667 0.3333
In 0.5000 0.3333 0.6667

(17)
A crystal of In2Bi relaxed with PBEsol. Source: Alexandria, functional meta-GGA SCAN.

Properties
The value obtained for the formation energy is 0.077 eV/atom. Its space group is P-6m2, No. 187.

a = 3.1964 Å, b = 5.4778 Å, c = 5.4778 Å
α = 120.00°, β = 90.00°, γ = 90.00°
Sites, in units of the cell vectors:
In 0.5000 0.0000 0.0000
In 0.0000 0.6667 0.3333
Bi 0.5000 0.3333 0.6667

(18)
A crystal of In3Bi relaxed with PBEsol. Source: Alexandria, functional meta-GGA SCAN.

Properties
The value obtained for the formation energy is 0.088 eV/atom. Its space group is Pm-3m, No. 221.

a = 4.7677 Å, b = 4.7677 Å, c = 4.7677 Å
α = 90.00°, β = 90.00°, γ = 90.00°
Sites, in units of the cell vectors:
In 0.5000 0.5000 0.0000
In 0.0000 0.5000 0.5000
In 0.5000 0.0000 0.5000
Bi 0.0000 0.0000 0.0000

(19)
A crystal of InBi2Ir2 relaxed with PBEsol. Source: Alexandria, functional meta-GGA SCAN.

Properties
The value obtained for the formation energy is 0.467 eV/atom. Its space group is I4/mmm, No. 139.

a = 4.7741 Å, b = 4.7741 Å, c = 6.2407 Å
α = 112.49°, β = 112.49°, γ = 90.00°
Sites, in units of the cell vectors:
In 0.0000 0.0000 0.0000
Ir 0.6162 0.6162 0.2324
Ir 0.3838 0.3838 0.7676
Bi 0.2500 0.7500 0.5000
Bi 0.7500 0.2500 0.5000

(20)
A crystal of TaInBiIr2 relaxed with PBEsol. Source: Alexandria, functional meta-GGA SCAN.

Properties
The value obtained for the formation energy is 1.211 eV/atom. Its space group is P4/mmm, No. 123.

a = 4.7930 Å, b = 4.7930 Å, c = 5.3988 Å
α = 90.00°, β = 90.00°, γ = 90.00°
Sites, in units of the cell vectors:
Ir 0.0000 0.5000 0.0000
Ir 0.5000 0.0000 0.0000
Ta 0.0000 0.0000 0.0000
Bi 0.0000 0.0000 0.5000
In 0.5000 0.5000 0.5000

(21)
A crystal of KInBiPb2 relaxed with PBEsol. Source: Alexandria, functional meta-GGA SCAN.

Properties
The value obtained for the formation energy is 0.915 eV/atom. Its space group is P4/mmm, No. 123.

a = 5.6681 Å, b = 5.8102 Å, c = 5.8102 Å
α = 90.00°, β = 90.00°, γ = 90.00°
Sites, in units of the cell vectors:
Pb 0.0000 0.0000 0.5000
Pb 0.0000 0.5000 0.0000
Bi 0.5000 0.5000 0.5000
In 0.5000 0.0000 0.0000
K 0.0000 0.0000 0.0000

(22)
A crystal of K2YInBi relaxed with PBEsol. Source: Alexandria, functional meta-GGA SCAN.

Properties
The value obtained for the formation energy is 0.500 eV/atom. Its space group is P4/mmm, No. 123.

a = 5.8057 Å, b = 6.4400 Å, c = 6.4400 Å
α = 90.00°, β = 90.00°, γ = 90.00°
Each line ends with the local moment (μB).
Sites, in units of the cell vectors:
Y 0.5000 0.5000 0.5000  0.57
K 0.0000 0.0000 0.5000  0.01
K 0.0000 0.5000 0.0000  0.01
In 0.5000 0.0000 0.0000  0.03
Bi 0.0000 0.0000 0.0000  0.02

(23)
A crystal of LaInBiPd2 relaxed with PBEsol. Source: Alexandria, functional meta-GGA SCAN.

Properties
The value obtained for the formation energy is 0.177 eV/atom. Its space group is P4/mmm, No. 123.

a = 5.0569 Å, b = 5.0569 Å, c = 5.9487 Å
α = 90.00°, β = 90.00°, γ = 90.00°
Sites, in units of the cell vectors:
Pd 0.5000 0.0000 0.0000
Pd 0.0000 0.5000 0.0000
Bi 0.0000 0.0000 0.0000
La 0.0000 0.0000 0.5000
In 0.5000 0.5000 0.5000

(24)
A crystal of Li2In2Bi relaxed with PBEsol. Source: Alexandria, functional meta-GGA SCAN.

Properties
The value obtained for the formation energy is -0.265 eV/atom. Its space group is P4/mbm, No. 127.

a = 3.2411 Å, b = 8.2886 Å, c = 8.2886 Å
α = 90.00°, β = 90.00°, γ = 90.00°
Sites, in units of the cell vectors:
In 0.0000 0.3749 0.8749
In 0.0000 0.6251 0.1251
In 0.0000 0.1251 0.3749
In 0.0000 0.8749 0.6251
Bi 0.0000 0.5000 0.5000
Bi 0.0000 0.0000 0.0000
Li 0.5000 0.8253 0.3253
Li 0.5000 0.1747 0.6747
Li 0.5000 0.6747 0.8253
Li 0.5000 0.3253 0.1747

(25)
A crystal of Mg2InBi2 relaxed with PBEsol. Source: Alexandria, functional meta-GGA SCAN.

Properties
The value obtained for the formation energy is -0.080 eV/atom. Its space group is P4/mbm, No. 127.

a = 3.3343 Å, b = 9.0391 Å, c = 9.0391 Å
α = 90.00°, β = 90.00°, γ = 90.00°
Sites, in units of the cell vectors:
Bi 0.0000 0.3431 0.8431
Bi 0.0000 0.1569 0.3431
Bi 0.0000 0.8431 0.6569
Bi 0.0000 0.6569 0.1569
Mg 0.5000 0.6399 0.8601
Mg 0.5000 0.3601 0.1399
Mg 0.5000 0.8601 0.3601
Mg 0.5000 0.1399 0.6399
In 0.0000 0.5000 0.5000
In 0.0000 0.0000 0.0000

(26)
A crystal of Mg3InBi relaxed with PBEsol. Source: Alexandria, functional meta-GGA SCAN.

Properties
The value obtained for the formation energy is 0.231 eV/atom. Its space group is Pm-3m, No. 221.

a = 5.2522 Å, b = 5.2522 Å, c = 5.2522 Å
α = 90.00°, β = 90.00°, γ = 90.00°
Sites, in units of the cell vectors:
In 0.0000 0.0000 0.0000
Mg 0.5000 0.0000 0.0000
Mg 0.0000 0.0000 0.5000
Mg 0.0000 0.5000 0.0000
Bi 0.5000 0.5000 0.5000

(27)
A crystal of Mg3InBi relaxed with PBEsol. Source: Alexandria, functional meta-GGA SCAN.

Properties
The value obtained for the formation energy is 0.400 eV/atom. Its space group is Pm-3m, No. 221.

a = 5.4821 Å, b = 5.4821 Å, c = 5.4821 Å
α = 90.00°, β = 90.00°, γ = 90.00°
Sites, in units of the cell vectors:
Mg 0.0000 0.0000 0.5000
Mg 0.5000 0.0000 0.0000
Mg 0.0000 0.5000 0.0000
Bi 0.0000 0.0000 0.0000
In 0.5000 0.5000 0.5000

(28)
A crystal of Mg2InBi2 relaxed with PBEsol. Source: Alexandria, functional meta-GGA SCAN.

Properties
The value obtained for the formation energy is -0.041 eV/atom. Its space group is I4/mmm, No. 139.

a = 4.6677 Å, b = 4.6677 Å, c = 7.6152 Å
α = 107.85°, β = 107.85°, γ = 90.00°
Sites, in units of the cell vectors:
In 0.0000 0.0000 0.0000
Mg 0.2500 0.7500 0.5000
Mg 0.7500 0.2500 0.5000
Bi 0.6169 0.6169 0.2338
Bi 0.3831 0.3831 0.7662

| no. | size of the total moment (μB per formula unit) | final energy (eV/f.u.) |
| --- | --- | --- |
| 1 | 1.546 | -221.1 |
| 2 | 0.000 | -247.1 |
| 3 | 0.000 | -259.5 |
| 4 | 0.002 | -208.2 |
| 5 | 0.002 | -215.3 |
| 6 | 3.000 | -219.6 |
| 7 | 5.027 | -199.9 |
| 8 | 0.000 | -220.2 |
| 9 | 0.000 | -201.7 |
| 10 | 0.000 | -151.5 |
| 11 | 0.000 | -183.6 |
| 12 | 0.000 | -145.1 |
| 13 | 0.000 | -268.9 |
| 14 | 0.000 | -145.2 |
| 15 | 0.000 | -211.6 |
| 16 | 0.000 | -145.0 |
| 17 | 0.000 | -145.1 |
| 18 | 0.000 | -178.4 |
| 19 | 0.000 | -330.4 |
| 20 | 0.000 | -314.7 |
| 21 | 0.000 | -267.3 |
| 22 | 1.286 | -154.0 |
| 23 | 0.000 | -219.7 |
| 24 | 0.000 | -151.5 |
| 25 | 0.000 | -200.9 |
| 26 | 0.000 | -125.7 |
| 27 | 0.000 | -124.9 |
| 28 | 0.000 | -200.7 |